This record from Alexandria via LeMat-Bulk describes crystalline Pm12Dy7Tm at its relaxed geometry. The functional is PBE.

Unit cell a=12.9012 b=12.9012 c=14.1116 alpha=90.00 beta=90.00 gamma=120.00
Space group R-3 (No. 148, hexagonal axes)
Unique sites:
Pm: 0.0005 0.4334 0.2503
Pm: 0.0665 0.8680 0.8443
Dy: 0.0000 0.0000 0.0000
Dy: 0.0668 0.1977 0.3508
Tm: 0.0000 0.0000 0.5000

- Density: 7.461 g cm⁻³
- Polymorph energy (0 for the lowest one): 36 meV/atom
- ΔH_f (0 K): 0.2726 eV/atom

=====

This record from Alexandria via LeMat-Bulk describes crystalline Pm3DyTm6 at its relaxed geometry. The functional is PBE.

Unit cell a=9.8136 b=9.8136 c=11.5333 alpha=90.00 beta=90.00 gamma=120.00
Space group R-3 (No. 148, hexagonal axes)
Unique sites:
Pm: 0.0000 0.0000 0.0000
Pm: 0.0000 0.0000 0.2499
Dy: 0.0000 0.0000 0.5000
Tm: 0.0025 0.3305 0.2501

- Density: 8.344 g cm⁻³
- Polymorph energy (0 for the lowest one): 149 meV/atom
- ΔH_f (0 K): 0.2999 eV/atom

=====

This record from Alexandria via LeMat-Bulk describes crystalline PmDy6Tm3 at its relaxed geometry. The functional is PBE.

Unit cell a=9.7346 b=9.7346 c=11.7606 alpha=90.00 beta=90.00 gamma=120.00
Space group R3 (No. 146, hexagonal axes)
Unique sites:
Pm: 0.0000 0.0000 0.0000
Dy: 0.0002 0.3306 0.3372
Dy: 0.0028 0.6689 0.5046
Tm: 0.0000 0.0000 0.2486
Tm: 0.0000 0.0000 0.4978
Tm: 0.0000 0.0000 0.7427

- Density: 8.397 g cm⁻³
- Polymorph energy (0 for the lowest one): 117 meV/atom
- ΔH_f (0 K): 0.2678 eV/atom

=====

This record from Alexandria via LeMat-Bulk describes crystalline Pm2DyTm6 at its relaxed geometry. The functional is PBE.

Unit cell a=12.7233 b=14.0976 c=6.5004 alpha=90.00 beta=103.59 gamma=90.00
Space group C2/c (No. 15)
Unique sites:
Pm: 0.1429 0.0260 0.3736
Dy: 0.0000 0.3817 0.2500
Tm: 0.0358 0.1882 0.0028
Tm: 0.1324 0.4111 0.8149
Tm: 0.2399 0.2013 0.7317

- Density: 8.593 g cm⁻³
- ΔH_f (0 K): 0.1093 eV/atom

=====

This record from Alexandria via LeMat-Bulk describes crystalline PmDy4Tm10 at its relaxed geometry. The functional is PBE.

Unit cell a=9.7057 b=9.7057 c=10.7136 alpha=90.00 beta=90.00 gamma=90.00
Space group I4/m (No. 87)
Unique sites:
Pm: 0.0000 0.0000 0.0000
Dy: 0.0562 0.7069 0.5000
Tm: 0.0000 0.5000 0.2500
Tm: 0.1215 0.7798 0.1682

- Density: 8.175 g cm⁻³
- ΔH_f (0 K): 0.4852 eV/atom

=====

This record from Alexandria via LeMat-Bulk describes crystalline PmDy3Tm at its relaxed geometry. The functional is PBE.

Unit cell a=6.2820 b=5.6502 c=9.5889 alpha=90.00 beta=109.04 gamma=90.00
Space group P2_1/m (No. 11)
Unique sites:
Pm: 0.0677 0.2500 0.2998
Dy: 0.1345 0.7500 0.0979
Dy: 0.2686 0.2500 0.7027
Dy: 0.3356 0.7500 0.5008
Tm: 0.4663 0.2500 0.0985

- Density: 8.273 g cm⁻³
- ΔH_f (0 K): 0.0127 eV/atom

=====

This record from Alexandria via LeMat-Bulk describes crystalline PmDy10Tm4 at its relaxed geometry. The functional is PBE.

Unit cell a=9.6532 b=9.6532 c=10.4457 alpha=90.00 beta=90.00 gamma=90.00
Space group I4/m (No. 87)
Unique sites:
Pm: 0.0000 0.0000 0.0000
Dy: 0.0000 0.5000 0.2500
Dy: 0.1130 0.2147 0.3415
Tm: 0.0699 0.3366 0.0000

- Density: 8.345 g cm⁻³
- ΔH_f (0 K): 0.3469 eV/atom

=====

This record from Alexandria via LeMat-Bulk describes crystalline PmDy8Tm2 at its relaxed geometry. The functional is PBE.

Unit cell a=19.0843 b=6.8958 c=5.5182 alpha=90.00 beta=92.90 gamma=90.00
Space group C2/m (No. 12)
Unique sites:
Pm: 0.0000 0.0000 0.0000
Dy: 0.0469 0.5000 0.2375
Dy: 0.1341 0.2664 0.7319
Dy: 0.1888 0.0000 0.2327
Tm: 0.2155 0.5000 0.2511

- Density: 8.164 g cm⁻³
- Polymorph energy (0 for the lowest one): 35 meV/atom
- ΔH_f (0 K): 0.1511 eV/atom

=====

This record from Alexandria via LeMat-Bulk describes crystalline Pm8DyTm5 at its relaxed geometry. The functional is PBE.

Unit cell a=11.2501 b=10.2281 c=9.8092 alpha=90.00 beta=123.48 gamma=90.00
Space group C2 (No. 5)
Unique sites:
Pm: 0.0387 0.0000 0.1908
Pm: 0.1340 0.7088 0.4569
Pm: 0.1634 0.2481 0.8203
Pm: 0.1935 0.3858 0.1731
Dy: 0.0000 0.6866 0.0000
Tm: 0.0000 0.0460 0.5000
Tm: 0.1266 0.4003 0.4818
Tm: 0.1727 0.5598 0.8314

- Density: 7.645 g cm⁻³
- ΔH_f (0 K): 0.2248 eV/atom

=====

This record from Alexandria via LeMat-Bulk describes crystalline Pm3DyTm2 at its relaxed geometry. The functional is PBE.

Unit cell a=3.6433 b=8.5015 c=13.0617 alpha=103.52 beta=90.00 gamma=90.09
Space group P-1 (No. 2)
Unique sites:
Pm: 0.0004 0.1387 0.1899
Pm: 0.0009 0.7982 0.5291
Pm: 0.4988 0.8596 0.3042
Dy: 0.0008 0.4755 0.8635
Tm: 0.4991 0.1985 0.9718
Tm: 0.5003 0.4738 0.3585

- Density: 7.897 g cm⁻³
- Polymorph energy (0 for the lowest one): 15 meV/atom
- ΔH_f (0 K): 0.0186 eV/atom

=====

This record from Alexandria via LeMat-Bulk describes crystalline Pm12Dy5Tm2 at its relaxed geometry. The functional is PBE.

Unit cell a=15.8693 b=9.2551 c=8.7158 alpha=90.00 beta=92.10 gamma=90.00
Space group C2/m (No. 12)
Unique sites:
Pm: 0.0601 0.0000 0.3418
Pm: 0.0810 0.5000 0.8822
Pm: 0.1287 0.1959 0.6785
Pm: 0.1509 0.3183 0.2370
Dy: 0.0000 0.5000 0.5000
Dy: 0.2025 0.0000 0.0271
Dy: 0.2310 0.5000 0.5677
Tm: 0.0000 0.1711 0.0000

- Density: 7.504 g cm⁻³
- Polymorph energy (0 for the lowest one): 17 meV/atom
- ΔH_f (0 K): 0.1180 eV/atom

=====

This record from Alexandria via LeMat-Bulk describes crystalline Pm7Dy12Tm at its relaxed geometry. The functional is PBE.

Unit cell a=11.2937 b=11.2937 c=11.2937 alpha=90.00 beta=90.00 gamma=90.00
Space group Im-3 (No. 204)
Unique sites:
Pm: 0.0000 0.0000 0.5000
Pm: 0.2500 0.2500 0.2500
Dy: 0.0000 0.2455 0.2461
Tm: 0.0000 0.0000 0.0000

- Density: 7.225 g cm⁻³
- Polymorph energy (0 for the lowest one): 419 meV/atom
- ΔH_f (0 K): 0.6520 eV/atom